(1)
Below is crystalline HoMg2Zn at its relaxed geometry, with properties calculated at the GGA-PBEsol level.

Structure (POSCAR):
```
HoMg2Zn
1.0
2.0362 -5.2932 0.0000
2.0362 5.2932 0.0000
0.0000 0.0000 8.1326
Ho Mg Zn
2 4 2
Direct
0.0575 0.9425 0.7500
0.9425 0.0575 0.2500
0.3572 0.6428 0.5536
0.3572 0.6428 0.9464
0.6428 0.3572 0.0536
0.6428 0.3572 0.4464
0.2355 0.7645 0.2500
0.7645 0.2355 0.7500
```

Computed properties:
- final energy (eV per atom) = -2.65
- formation enthalpy at 0 K (eV per atom) = -0.163
- density (Mg/m³) = 5.3

---

(2)
Below is crystalline HoMgZn2 at its relaxed geometry, with properties calculated at the GGA-PBEsol level.

Structure (POSCAR):
```
HoMgZn2
1.0
0.0000 3.3487 3.3487
3.3487 0.0000 3.3487
3.3487 3.3487 0.0000
Ho Mg Zn
1 1 2
Direct
0.0000 0.0000 0.0000
0.5000 0.5000 0.5000
0.2500 0.2500 0.2500
0.7500 0.7500 0.7500
```

Computed properties:
- final energy (eV per atom) = -2.80
- formation enthalpy at 0 K (eV per atom) = -0.339
- density (Mg/m³) = 7.1

---

- The lowest formation enthalpy at 0 K belongs to which entry?
  HoMgZn2